! PBE Al2SiPt, optimized geometry; values from VASP
&SYSTEM
  ibrav = 0, nat = 4, ntyp = 3
/
ATOMIC_SPECIES
Si 28.09 Si.upf
Al 26.98 Al.upf
Pt 195.08 Pt.upf
ATOMIC_POSITIONS angstrom
Si 0.136 0.689 2.490
Al 3.420 -1.057 3.207
Al 0.323 1.342 4.963
Pt 0.408 2.066 7.469
CELL_PARAMETERS angstrom
-0.692 3.211 2.986
-2.234 0.636 3.782
3.470 -1.093 3.191
! Symmetry   C2/m (12)
! Fermi-level density of states   0.24 states/eV per atom
! Formation energy without anion corrections   -0.3270 eV/atom